(1)
PmHoPuAl, optimized geometry, DFT PBE; crystal system = cubic; M_tot = 6.4 μB per formula unit; DOS(E_F) = 9.20 states/eV/cell; density = 8919 kg/m3; total DFT energy (no corrections) = -27.218 eV per cell; SG = F-43m, No. 216
1.0
-3.218 0.657 4.220
-2.313 -4.246 2.286
1.580 -1.620 4.846
Al Pm Ho Pu
1 1 1 1
Direct
0.250 0.250 0.250
0.000 0.000 0.000
0.750 0.750 0.750
0.500 0.500 0.500

(2)
Y3ReIr, optimized geometry, DFT PBE; crystal system = cubic; M_tot = 2.0 μB per formula unit; DOS(E_F) = 5.72 states/eV/cell; density = 7374 kg/m3; total DFT energy (no corrections) = -37.969 eV per cell; SG = Pm-3m, No. 221
1.0
5.257 0.000 0.000
0.000 5.257 0.000
0.000 0.000 5.257
Y Re Ir
3 1 1
Direct
0.000 0.500 0.000
0.000 0.000 0.500
0.500 0.000 0.000
0.500 0.500 0.500
0.000 0.000 0.000

(3)
Ba3Na3Sn8, optimized geometry, DFT PBE; crystal system = orthorhombic; M_tot = 0.0 μB per formula unit; DOS(E_F) = 6.75 states/eV/cell; density = 5145 kg/m3; total DFT energy (no corrections) = -47.112 eV per cell; SG = Immm, No. 71
1.0
4.769 0.000 0.000
2.384 10.021 -0.035
2.384 2.695 9.652
Ba Na Sn
3 3 8
Direct
0.500 0.500 0.500
0.788 0.212 0.212
0.212 0.788 0.788
0.500 0.000 0.000
0.000 0.805 0.195
0.000 0.195 0.805
0.652 0.051 0.644
0.348 0.949 0.356
0.652 0.644 0.051
0.348 0.356 0.949
0.845 0.798 0.511
0.155 0.202 0.489
0.845 0.511 0.798
0.155 0.489 0.202

(4)
TaP3, optimized geometry, DFT PBE; crystal system = orthorhombic; M_tot = 0.0 μB per formula unit; DOS(E_F) = 1.50 states/eV/cell; density = 7983 kg/m3; total DFT energy (no corrections) = -28.221 eV per cell; SG = Immm, No. 71
1.0
-0.125 -3.142 3.628
2.963 -3.669 -0.901
0.084 4.775 0.493
P Ta
3 1
Direct
0.037 0.037 0.000
0.250 0.750 0.500
0.463 0.463 0.000
0.750 0.250 0.500

(5)
Ac2Pm3Ru2, optimized geometry, DFT PBE; crystal system = monoclinic; M_tot = 0.0 μB per formula unit; DOS(E_F) = 4.70 states/eV/cell; density = 8475 kg/m3; total DFT energy (no corrections) = -42.406 eV per cell; SG = C2/m, No. 12
1.0
4.037 0.000 0.000
-2.019 6.341 -0.467
0.000 -3.519 8.609
Ac Pm Ru
2 3 2
Direct
0.834 0.668 0.205
0.166 0.332 0.795
0.500 0.000 0.000
0.623 0.247 0.419
0.377 0.753 0.581
0.822 0.644 0.759
0.178 0.356 0.241

(6)
ReTc, optimized geometry, DFT PBE; crystal system = tetragonal; M_tot = 0.0 μB per formula unit; DOS(E_F) = 4.32 states/eV/cell; density = 15932 kg/m3; total DFT energy (no corrections) = -45.380 eV per cell; SG = I4_1/amd, No. 141
1.0
-1.906 2.804 -1.924
-3.223 -2.193 -0.003
-3.650 1.894 2.426
Re Tc
2 2
Direct
0.000 0.000 0.000
0.750 0.250 0.500
0.250 0.750 0.500
0.500 0.500 0.000

(7)
LiY3Pu2S6, optimized geometry, DFT PBE; crystal system = monoclinic; M_tot = 11.7 μB per formula unit; DOS(E_F) = 18.12 states/eV/cell; density = 6188 kg/m3; total DFT energy (no corrections) = -97.160 eV per cell; SG = C2/m, No. 12; formation energy from raw total energies = -2164 kJ/mol of formula units
1.0
-1.869 -6.056 -2.435
6.346 2.224 -0.934
0.284 -1.485 6.633
Li Y Pu S
1 3 2 6
Direct
0.000 0.000 0.000
0.167 0.833 0.500
0.833 0.167 0.500
0.500 0.500 0.500
0.333 0.667 0.000
0.667 0.333 0.000
0.917 0.589 0.750
0.756 0.756 0.249
0.083 0.411 0.250
0.589 0.917 0.750
0.244 0.244 0.751
0.411 0.083 0.250

(8)
CsKCdBi, optimized geometry, DFT PBE; crystal system = orthorhombic; M_tot = 0.0 μB per formula unit; DOS(E_F) = 3.45 states/eV/cell; density = 4132 kg/m3; total DFT energy (no corrections) = -7.668 eV per cell; SG = Amm2, No. 38
1.0
-4.805 -0.379 -1.847
-0.851 -4.822 3.203
-1.774 6.099 3.366
Cs K Cd Bi
1 1 1 1
Direct
0.500 0.202 0.404
0.000 0.919 0.837
0.500 0.499 0.998
0.000 0.608 0.216

(9)
Nd2Y3Cd2, optimized geometry, DFT PBE; crystal system = orthorhombic; M_tot = 0.1 μB per formula unit; DOS(E_F) = 9.00 states/eV/cell; density = 6093 kg/m3; total DFT energy (no corrections) = -31.699 eV per cell; SG = Cmmm, No. 65
1.0
-3.438 0.783 -0.852
0.400 -1.691 -3.169
-6.571 -13.504 6.377
Nd Y Cd
2 3 2
Direct
0.702 0.500 0.595
0.298 0.500 0.405
0.877 0.000 0.245
0.000 0.000 0.000
0.123 0.000 0.755
0.561 0.500 0.879
0.439 0.500 0.121

(10)
Ag2Se, optimized geometry, DFT PBE; crystal system = orthorhombic; M_tot = 0.0 μB per formula unit; DOS(E_F) = 1.63 states/eV/cell; density = 8100 kg/m3; total DFT energy (no corrections) = -37.099 eV per cell; SG = Pnma, No. 62; formation energy from raw total energies = -8 kJ/mol of formula units
1.0
4.218 0.000 0.000
0.000 6.833 0.000
0.000 0.000 8.385
Ag Se
8 4
Direct
0.250 0.099 0.776
0.750 0.401 0.276
0.250 0.599 0.724
0.750 0.901 0.224
0.250 0.119 0.421
0.750 0.381 0.921
0.250 0.619 0.079
0.750 0.881 0.579
0.250 0.704 0.401
0.750 0.796 0.901
0.250 0.204 0.099
0.750 0.296 0.599

(11)
TaNiP3, optimized geometry, DFT PBE; crystal system = cubic; M_tot = 0.2 μB per formula unit; DOS(E_F) = 4.13 states/eV/cell; density = 5105 kg/m3; total DFT energy (no corrections) = -29.800 eV per cell; SG = Pm-3m, No. 221
1.0
-4.723 0.515 0.362
0.026 -2.575 4.009
0.629 3.976 2.549
Ni P Ta
1 3 1
Direct
0.500 0.500 0.500
0.000 0.500 0.000
0.000 0.000 0.500
0.500 0.000 0.000
0.000 0.000 0.000

(12)
CeGe4Rh6, optimized geometry, DFT PBE; crystal system = tetragonal; M_tot = 0.5 μB per formula unit; DOS(E_F) = 11.63 states/eV/cell; density = 8878 kg/m3; total DFT energy (no corrections) = -72.626 eV per cell; SG = I-42m, No. 121
1.0
-2.483 -5.774 -1.485
5.099 0.171 3.960
-3.527 3.948 3.700
Ce Ge Rh
1 4 6
Direct
0.000 0.000 0.000
0.000 0.127 0.540
0.587 0.460 0.460
0.000 0.540 0.127
0.413 0.873 0.873
0.000 0.768 0.461
0.000 0.461 0.768
0.693 0.232 0.232
0.500 0.000 0.500
0.307 0.539 0.539
0.500 0.500 0.000

(13)
Mg3IrBr, optimized geometry, DFT PBE; crystal system = cubic; M_tot = 0.0 μB per formula unit; DOS(E_F) = 1.86 states/eV/cell; density = 5024 kg/m3; total DFT energy (no corrections) = -11.930 eV per cell; SG = Pm-3m, No. 221; formation energy from raw total energies = 327 kJ/mol of formula units
1.0
4.849 0.000 0.000
0.000 4.849 0.000
0.000 0.000 4.849
Mg Ir Br
3 1 1
Direct
0.000 0.500 0.000
0.000 0.000 0.500
0.500 0.000 0.000
0.500 0.500 0.500
0.000 0.000 0.000

(14)
Li2Zn5Ag2, optimized geometry, DFT PBE; crystal system = orthorhombic; M_tot = 0.0 μB per formula unit; DOS(E_F) = 4.69 states/eV/cell; density = 6520 kg/m3; total DFT energy (no corrections) = -33.810 eV per cell; SG = Ima2, No. 46
1.0
-2.800 -2.867 2.656
4.669 0.795 5.781
-5.039 7.316 -1.767
Li Zn Ag
4 10 4
Direct
0.163 0.616 0.180
0.837 0.436 0.820
0.517 0.116 0.180
0.483 0.936 0.820
0.351 0.603 0.841
0.649 0.762 0.159
0.991 0.103 0.841
0.009 0.262 0.159
0.113 0.044 0.331
0.887 0.713 0.669
0.718 0.544 0.331
0.282 0.213 0.669
0.153 0.825 0.500
0.847 0.325 0.500
0.000 0.852 0.000
0.500 0.352 0.000
0.353 0.485 0.500
0.647 0.985 0.500

(15)
SmPaSb, optimized geometry, DFT PBE; crystal system = tetragonal; M_tot = 0.4 μB per formula unit; DOS(E_F) = 9.67 states/eV/cell; density = 10012 kg/m3; total DFT energy (no corrections) = -40.525 eV per cell; SG = P4/nmm, No. 129; formation energy from raw total energies = -186 kJ/mol of formula units
1.0
4.321 0.000 0.000
0.000 4.321 0.000
0.000 0.000 8.939
Pa Sb Sm
2 2 2
Direct
0.000 0.000 0.000
0.500 0.500 0.000
0.000 0.500 0.723
0.500 0.000 0.277
0.000 0.500 0.359
0.500 0.000 0.641

(16)
PmGe2Rh2, optimized geometry, DFT PBE; crystal system = tetragonal; M_tot = 0.0 μB per formula unit; DOS(E_F) = 2.50 states/eV/cell; density = 9024 kg/m3; total DFT energy (no corrections) = -33.211 eV per cell; SG = I4/mmm, No. 139
1.0
-2.750 -2.048 -2.378
-1.704 -1.680 3.418
-1.084 5.915 -0.180
Pm Ge Rh
1 2 2
Direct
0.000 0.000 0.000
0.624 0.624 0.247
0.376 0.376 0.753
0.750 0.250 0.500
0.250 0.750 0.500

(17)
ZnCd2Sb2, optimized geometry, DFT PBE; crystal system = tetragonal; M_tot = 0.0 μB per formula unit; DOS(E_F) = 0.87 states/eV/cell; density = 5847 kg/m3; total DFT energy (no corrections) = -10.399 eV per cell; SG = I4/mmm, No. 139; formation energy from raw total energies = 92 kJ/mol of formula units
1.0
-4.292 -0.651 3.028
1.604 -4.894 1.221
1.365 -0.823 6.384
Sb Zn Cd
2 1 2
Direct
0.370 0.370 0.259
0.630 0.630 0.741
0.000 0.000 0.000
0.750 0.250 0.500
0.250 0.750 0.500

(18)
KYMn2Cl8, optimized geometry, DFT PBE; crystal system = triclinic; M_tot = 10.0 μB per formula unit; DOS(E_F) = 0.00 states/eV/cell; density = 2437 kg/m3; total DFT energy (no corrections) = -59.891 eV per cell; SG = P-1, No. 2; formation energy from raw total energies = -1854 kJ/mol of formula units
1.0
-1.007 2.804 5.743
5.436 -1.562 3.127
4.696 7.489 -1.069
K Y Mn Cl
1 1 2 8
Direct
0.000 0.000 0.500
0.000 0.000 0.000
0.452 0.448 0.715
0.548 0.552 0.285
0.196 0.746 0.225
0.721 0.740 0.044
0.762 0.209 0.220
0.804 0.254 0.775
0.279 0.260 0.956
0.238 0.791 0.780
0.660 0.677 0.489
0.340 0.323 0.511

(19)
Cs2AuS, optimized geometry, DFT PBE; crystal system = cubic; M_tot = 1.0 μB per formula unit; DOS(E_F) = 8.23 states/eV/cell; density = 5230 kg/m3; total DFT energy (no corrections) = -10.503 eV per cell; SG = Fm-3m, No. 225; formation energy from raw total energies = -134 kJ/mol of formula units
1.0
4.804 -2.670 -2.545
3.593 -3.570 3.321
0.005 -5.987 -0.917
Cs S Au
2 1 1
Direct
0.250 0.250 0.250
0.750 0.750 0.750
0.000 0.000 0.000
0.500 0.500 0.500

(20)
K2NbV, optimized geometry, DFT PBE; crystal system = tetragonal; M_tot = 1.2 μB per formula unit; DOS(E_F) = 11.80 states/eV/cell; density = 1985 kg/m3; total DFT energy (no corrections) = -30.785 eV per cell; SG = I-42d, No. 122
1.0
12.882 0.000 0.000
0.000 12.882 0.000
6.441 6.441 2.239
Nb K V
2 4 2
Direct
0.000 0.000 0.000
0.750 0.250 0.500
0.466 0.125 0.250
0.284 0.625 0.250
0.375 0.534 0.750
0.875 0.716 0.750
0.500 0.500 0.000
0.250 0.750 0.500